[1]
Here is crystalline Bi4Se2S5 at its relaxed geometry from Alexandria. Energies are from GGA-PBE.

Structure (POSCAR):
```
Bi4Se2S5
1.0
13.912 -1.985 0.000
13.912 1.985 0.000
-0.276 0.000 5.653
Bi Se S
4 2 5
direct
0.042 0.042 0.213 Bi
0.328 0.328 0.159 Bi
0.672 0.672 0.841 Bi
0.958 0.958 0.787 Bi
0.162 0.162 0.449 Se
0.838 0.838 0.551 Se
0.100 0.100 0.851 S
0.217 0.217 0.169 S
0.500 0.500 0.500 S
0.783 0.783 0.831 S
0.900 0.900 0.149 S
```

Summary:
- V: 312 Å³ per cell
- Magnetization: 0.0 μB per cell
- Crystal system: monoclinic
- Uncorrected formation energy: -67 meV per atom



[2]
Here is crystalline Bi3SeS2 at its relaxed geometry from Alexandria. Energies are from GGA-PBE.

Structure (POSCAR):
```
Bi3SeS2
1.0
-1.854 5.974 4.265
1.854 -5.974 4.265
1.854 5.974 -4.265
Bi Se S
3 1 2
direct
0.000 0.000 0.000 Bi
0.305 0.988 0.317 Bi
0.670 0.988 0.683 Bi
0.695 0.195 0.500 Se
0.065 0.225 0.840 S
0.385 0.225 0.160 S
```

Summary:
- V: 189 Å³ per cell
- Magnetization: 0.0 μB per cell
- Crystal system: orthorhombic
- Uncorrected formation energy: -43 meV per atom



Record order is preserved below.
E: -43.9; -23.6 eV per cell